PBE LaPaTlHg, relaxed; symmetry = F-43m, No. 216
1.0
7.730 0.000 0.000
0.000 7.730 0.000
0.000 0.000 7.730
La Pa Tl Hg
4 4 4 4
Direct
0.000 0.000 0.000
0.000 0.500 0.500
0.500 0.000 0.500
0.500 0.500 0.000
0.000 0.000 0.500
0.000 0.500 0.000
0.500 0.000 0.000
0.500 0.500 0.500
0.250 0.250 0.250
0.250 0.750 0.750
0.750 0.250 0.750
0.750 0.750 0.250
0.250 0.250 0.750
0.250 0.750 0.250
0.750 0.250 0.250
0.750 0.750 0.750

PBE La2HgPb, relaxed; symmetry = Immm, No. 71
1.0
3.558 0.000 0.000
0.000 5.867 0.000
0.000 0.000 13.159
La Hg Pb
4 2 2
Direct
0.000 0.000 0.240
0.000 0.000 0.760
0.500 0.500 0.260
0.500 0.500 0.740
0.000 0.000 0.000
0.500 0.500 0.500
0.000 0.000 0.500
0.500 0.500 0.000

PBE LaHgPb2, relaxed; symmetry = R3m, No. 160
1.0
3.696 0.000 0.000
-1.848 3.201 0.000
0.000 0.000 31.483
La Hg Pb
3 3 6
Direct
0.000 0.000 0.000
0.333 0.667 0.667
0.667 0.333 0.333
0.000 0.000 0.253
0.333 0.667 0.919
0.667 0.333 0.586
0.000 0.000 0.506
0.000 0.000 0.756
0.333 0.667 0.173
0.333 0.667 0.423
0.667 0.333 0.089
0.667 0.333 0.840

PBE LaHgPb, relaxed; symmetry = F-43m, No. 216
1.0
7.300 0.000 0.000
0.000 7.300 0.000
0.000 0.000 7.300
La Hg Pb
4 4 4
Direct
0.000 0.000 0.000
0.000 0.500 0.500
0.500 0.000 0.500
0.500 0.500 0.000
0.250 0.250 0.250
0.250 0.750 0.750
0.750 0.250 0.750
0.750 0.750 0.250
0.000 0.000 0.500
0.000 0.500 0.000
0.500 0.000 0.000
0.500 0.500 0.500

PBE LaHgPb3, relaxed; symmetry = Cmcm, No. 63
1.0
4.776 -5.908 0.000
4.776 5.908 0.000
0.000 0.000 6.331
La Hg Pb
2 2 6
Direct
0.246 0.754 0.750
0.754 0.246 0.250
0.036 0.964 0.250
0.964 0.036 0.750
0.126 0.547 0.250
0.453 0.874 0.250
0.500 0.500 0.000
0.500 0.500 0.500
0.547 0.126 0.750
0.874 0.453 0.750

PBE La2HgPb, relaxed; symmetry = Cmmm, No. 65
1.0
7.696 0.000 0.000
0.000 8.534 0.000
0.000 0.000 3.767
La Hg Pb
4 2 2
Direct
0.250 0.250 0.000
0.250 0.750 0.000
0.750 0.250 0.000
0.750 0.750 0.000
0.000 0.000 0.500
0.500 0.500 0.500
0.000 0.500 0.500
0.500 0.000 0.500

PBE La5Hg2Pb, relaxed; symmetry = I4/mcm, No. 140
1.0
-4.407 4.407 6.734
4.407 -4.407 6.734
4.407 4.407 -6.734
La Hg Pb
10 4 2
Direct
0.000 0.000 0.000
0.009 0.509 0.817
0.191 0.009 0.500
0.309 0.809 0.817
0.491 0.309 0.500
0.500 0.500 0.000
0.509 0.691 0.500
0.691 0.191 0.183
0.809 0.991 0.500
0.991 0.491 0.183
0.136 0.364 0.500
0.364 0.864 0.228
0.636 0.136 0.772
0.864 0.636 0.500
0.250 0.250 0.000
0.750 0.750 0.000

PBE LaHgPb2, relaxed; symmetry = I-42d, No. 122
1.0
4.708 0.000 0.000
0.000 4.708 0.000
0.000 0.000 23.241
La Hg Pb
4 4 8
Direct
0.000 0.000 0.000
0.000 0.500 0.250
0.500 0.000 0.750
0.500 0.500 0.500
0.000 0.000 0.500
0.000 0.500 0.750
0.500 0.000 0.250
0.500 0.500 0.000
0.242 0.250 0.625
0.250 0.742 0.875
0.250 0.758 0.375
0.258 0.250 0.125
0.742 0.750 0.125
0.750 0.242 0.375
0.750 0.258 0.875
0.758 0.750 0.625

no.,formation energy from the elements (eV/atom),total magnetic moment (μB/atom)
1,0.0212,0.6084
2,0.1250,0.0000
3,-0.1430,0.0000
4,-0.4049,0.0000
5,-0.0909,0.0000
6,-0.5428,0.0000
7,-0.4301,0.0001
8,-0.1907,0.0000